Record 1
Entry from Alexandria: crystalline CaAl4Ag at its relaxed geometry (GGA-PBE).

Lattice parameters (Å, degrees): 5.2757 4.6095 10.4201 102.79 104.76 89.91
Fractional positions:
1 Ca 0.2322 0.2497 0.9997
2 Ag 0.5000 0.0000 0.5000
3 Al 0.4299 0.8582 0.2165
4 Al 0.7854 0.3587 0.2169
5 Ag 0.0000 0.5000 0.5000
6 Ca 0.7678 0.7503 0.0003
7 Al 0.0073 0.0775 0.6559
8 Al 0.3513 0.4222 0.3442
9 Al 0.5701 0.1418 0.7835
10 Al 0.6487 0.5778 0.6558
11 Al 0.9927 0.9225 0.3441
12 Al 0.2146 0.6413 0.7831

Computed properties:
DOS at the Fermi energy (states/eV per atom): 0.366
VASP energy (eV per atom): -3.37

***

Record 2
Entry from Alexandria: crystalline Ca3Al2Ag3 at its relaxed geometry (GGA-PBE).

Lattice parameters (Å, degrees): 6.0700 8.1647 15.7771 90.00 90.00 90.00
Fractional positions:
1 Ca 0.3665 0.9719 0.3938
2 Ca 0.1335 0.4719 0.1062
3 Ag 0.5957 0.3174 0.7500
4 Ag 0.0957 0.1826 0.2500
5 Ag 0.0988 0.1725 0.9626
6 Al 0.1283 0.8764 0.6051
7 Ag 0.5988 0.3275 0.4626
8 Ca 0.1135 0.1692 0.7500
9 Ca 0.6335 0.0281 0.6062
10 Ag 0.0988 0.1725 0.5374
11 Ca 0.8865 0.8308 0.2500
12 Ag 0.4012 0.6725 0.5374
13 Al 0.6283 0.6236 0.3949
14 Al 0.3717 0.3764 0.6051
15 Ag 0.9012 0.8275 0.4626
16 Al 0.8717 0.1236 0.3949
17 Al 0.1283 0.8764 0.8949
18 Ag 0.4012 0.6725 0.9626
19 Ag 0.9012 0.8275 0.0374
20 Ca 0.8665 0.5281 0.6062
21 Al 0.6283 0.6236 0.1051
22 Ca 0.1335 0.4719 0.3938
23 Al 0.3717 0.3764 0.8949
24 Ca 0.3665 0.9719 0.1062
25 Ca 0.8665 0.5281 0.8938
26 Ca 0.6135 0.3308 0.2500
27 Al 0.8717 0.1236 0.1051
28 Ag 0.4043 0.6826 0.2500
29 Ag 0.5988 0.3275 0.0374
30 Ag 0.9043 0.8174 0.7500
31 Ca 0.3865 0.6692 0.7500
32 Ca 0.6335 0.0281 0.8938

Computed properties:
DOS at the Fermi energy (states/eV per atom): 0.568
VASP energy (eV per atom): -3.06